Record 1
Density functional theory data (PBE-GGA) for a relaxed Y2HfB crystal.

a b c (Å): 4.990 4.990 4.990
angles (deg): 60.00 60.00 60.00
Positions (direct):
Y: 0.250 0.250 0.250
Y: 0.750 0.750 0.750
B: 0.000 0.000 0.000
Hf: 0.500 0.500 0.500

Properties
**Energy relative to the lowest polymorph listed for this composition**: 447 meV/atom
**Calculated volume**: 21.97 Å³ per atom
**Magnetization**: 2.2 μB/f.u.
**Uncorrected energy**: -6.63 eV per atom


Record 2
Density functional theory data (PBE-GGA) for a relaxed LiCaTc crystal.

a b c (Å): 4.196 4.196 10.027
angles (deg): 90.00 90.00 120.00
Positions (direct):
Li: 0.667 0.333 0.969
Li: 0.333 0.667 0.385
Tc: 0.667 0.333 0.474
Tc: 0.000 0.000 0.515
Ca: 0.000 0.000 0.214
Ca: 0.333 0.667 0.706

Properties
**Energy relative to the lowest polymorph listed for this composition**: 38 meV/atom
**Calculated volume**: 25.48 Å³ per atom
**Magnetization**: 0.0 μB/f.u.
**Uncorrected energy**: -4.57 eV per atom


Record 3
Density functional theory data (PBE-GGA) for a relaxed Ho2ScSb3 crystal.

a b c (Å): 7.456 7.456 7.448
angles (deg): 99.62 99.62 120.01
Positions (direct):
Sb: 0.414 0.088 0.242
Sb: 0.072 0.405 0.239
Sb: 0.755 0.748 0.242
Sb: 0.595 0.928 0.761
Sb: 0.912 0.586 0.758
Sb: 0.252 0.245 0.758
Sc: 0.001 0.999 0.000
Sc: 0.666 0.334 0.000
Ho: 0.333 0.667 0.000
Ho: 0.170 0.830 0.500
Ho: 0.497 0.503 0.500
Ho: 0.833 0.167 0.500

Properties
**Energy relative to the lowest polymorph listed for this composition**: 0 meV/atom
**Calculated volume**: 28.16 Å³ per atom
**Magnetization**: 0.0 μB/f.u.
**Formation energy without anion corrections**: -1.046 eV/atom
**Uncorrected energy**: -5.69 eV per atom


Record 4
Density functional theory data (PBE-GGA) for a relaxed CsCo3Si crystal.

a b c (Å): 4.497 4.497 4.497
angles (deg): 90.00 90.00 90.00
Positions (direct):
Co: 0.000 0.000 0.500
Co: 0.500 0.000 0.000
Co: 0.000 0.500 0.000
Cs: 0.500 0.500 0.500
Si: 0.000 0.000 0.000

Properties
**Energy relative to the lowest polymorph listed for this composition**: 0 meV/atom
**Calculated volume**: 18.19 Å³ per atom
**Magnetization**: 1.9 μB/f.u.
**Formation energy without anion corrections**: 0.956 eV/atom
**Uncorrected energy**: -4.56 eV per atom